The following is a DFT calculation (PBEsol) of crystalline LaY2Cu at its relaxed geometry.

Cell: 3.636 5.305 5.388 Å, 90.00 90.00 90.00°
Positions (direct):
Cu  0.500  0.500  0.000
La  0.000  0.500  0.500
Y  0.000  0.000  0.000
Y  0.500  0.000  0.500

Values from the calculation:
* volume: 103.9 Å³ per cell
* magnetization: 0.0001 μB per atom
* ΔH_f (0 K): 0.153 eV/atom
* symmetry: Pmmm, No. 47
* ρ: 6.08 g/cm3
* E: -5.679 eV per atom
* relative energy among the computed polymorphs: 0.231 eV per atom